[1]
Compound: Pa5Ta2S12
Source: Alexandria
Functional: PBE
Structure: relaxed

Cell and atoms, written as CIF:
```
data_Pa5Ta2S12
_chemical_formula_sum 'Pa5 Ta2 S12'
_symmetry_space_group_name_H-M 'P 1'
_symmetry_Int_Tables_number 1
_symmetry_space_group_name_Hall 'P 1'
_cell_length_a 8.309
_cell_length_b 8.309
_cell_length_c 8.469
_cell_angle_alpha 104.79
_cell_angle_beta 104.79
_cell_angle_gamma 48.74
loop_
_atom_site_label
_atom_site_type_symbol
_atom_site_fract_x
_atom_site_fract_y
_atom_site_fract_z
Pa1 Pa 0.000 0.000 0.000
Pa2 Pa 0.311 0.311 0.161
Pa3 Pa 0.322 0.322 0.651
Pa4 Pa 0.678 0.678 0.349
Pa5 Pa 0.689 0.689 0.839
Ta1 Ta 0.296 0.704 0.500
Ta2 Ta 0.704 0.296 0.500
S1 S 0.002 0.002 0.308
S2 S 0.074 0.590 0.412
S3 S 0.094 0.601 0.926
S4 S 0.399 0.906 0.074
S5 S 0.410 0.926 0.588
S6 S 0.495 0.495 0.251
S7 S 0.505 0.505 0.749
S8 S 0.590 0.074 0.412
S9 S 0.601 0.094 0.926
S10 S 0.906 0.399 0.074
S11 S 0.926 0.410 0.588
S12 S 0.998 0.998 0.692
```

Computed properties:
The calculation puts the total energy at -148.2 eV/cell. As for the space group: C2/m (12).

=====

[2]
Compound: PaTa4S8
Source: Alexandria
Functional: PBE
Structure: relaxed

Cell and atoms, written as CIF:
```
data_PaTa4S8
_chemical_formula_sum 'Pa1 Ta4 S8'
_symmetry_space_group_name_H-M 'P 1'
_symmetry_Int_Tables_number 1
_symmetry_space_group_name_Hall 'P 1'
_cell_length_a 7.464
_cell_length_b 7.464
_cell_length_c 7.464
_cell_angle_alpha 54.91
_cell_angle_beta 54.91
_cell_angle_gamma 54.91
loop_
_atom_site_label
_atom_site_type_symbol
_atom_site_fract_x
_atom_site_fract_y
_atom_site_fract_z
Pa1 Pa 0.000 0.000 0.000
Ta1 Ta 0.000 0.000 0.500
Ta2 Ta 0.000 0.500 0.000
Ta3 Ta 0.500 0.000 0.000
Ta4 Ta 0.500 0.500 0.500
S1 S 0.246 0.246 0.246
S2 S 0.259 0.259 0.738
S3 S 0.259 0.738 0.259
S4 S 0.262 0.741 0.741
S5 S 0.738 0.259 0.259
S6 S 0.741 0.262 0.741
S7 S 0.741 0.741 0.262
S8 S 0.754 0.754 0.754
```

Computed properties:
The calculation puts the total energy at -104.5 eV/cell. As for the space group: R-3m (166).

=====

[3]
Compound: PaTaS3
Source: Alexandria
Functional: PBE
Structure: relaxed

Cell and atoms, written as CIF:
```
data_PaTaS3
_chemical_formula_sum 'Pa2 Ta2 S6'
_symmetry_space_group_name_H-M 'P 1'
_symmetry_Int_Tables_number 1
_symmetry_space_group_name_Hall 'P 1'
_cell_length_a 7.162
_cell_length_b 3.639
_cell_length_c 7.576
_cell_angle_alpha 90.00
_cell_angle_beta 97.59
_cell_angle_gamma 90.00
loop_
_atom_site_label
_atom_site_type_symbol
_atom_site_fract_x
_atom_site_fract_y
_atom_site_fract_z
Pa1 Pa 0.126 0.250 0.279
Pa2 Pa 0.874 0.750 0.721
Ta1 Ta 0.378 0.750 0.876
Ta2 Ta 0.622 0.250 0.124
S1 S 0.130 0.250 0.899
S2 S 0.205 0.750 0.557
S3 S 0.412 0.750 0.206
S4 S 0.588 0.250 0.794
S5 S 0.795 0.250 0.443
S6 S 0.870 0.750 0.101
```

Computed properties:
The calculation puts the total energy at -80.4 eV/cell. As for the space group: P2_1/m (11).

=====

[4]
Compound: PaTa2S6
Source: Alexandria
Functional: PBE
Structure: relaxed

Cell and atoms, written as CIF:
```
data_PaTa2S6
_chemical_formula_sum 'Pa1 Ta2 S6'
_symmetry_space_group_name_H-M 'P 1'
_symmetry_Int_Tables_number 1
_symmetry_space_group_name_Hall 'P 1'
_cell_length_a 7.342
_cell_length_b 7.342
_cell_length_c 7.342
_cell_angle_alpha 49.04
_cell_angle_beta 49.04
_cell_angle_gamma 49.04
loop_
_atom_site_label
_atom_site_type_symbol
_atom_site_fract_x
_atom_site_fract_y
_atom_site_fract_z
Pa1 Pa 0.000 0.000 0.000
Ta1 Ta 0.166 0.166 0.166
Ta2 Ta 0.834 0.834 0.834
S1 S 0.084 0.763 0.427
S2 S 0.237 0.573 0.916
S3 S 0.427 0.084 0.763
S4 S 0.573 0.916 0.237
S5 S 0.763 0.427 0.084
S6 S 0.916 0.237 0.573
```

Computed properties:
The calculation puts the total energy at -68.0 eV/cell. As for the space group: R-3 (148).

=====

[5]
Compound: PaTa2S6
Source: Alexandria
Functional: PBE
Structure: relaxed

Cell and atoms, written as CIF:
```
data_PaTa2S6
_chemical_formula_sum 'Pa1 Ta2 S6'
_symmetry_space_group_name_H-M 'P 1'
_symmetry_Int_Tables_number 1
_symmetry_space_group_name_Hall 'P 1'
_cell_length_a 6.618
_cell_length_b 6.618
_cell_length_c 8.786
_cell_angle_alpha 122.01
_cell_angle_beta 122.01
_cell_angle_gamma 40.43
loop_
_atom_site_label
_atom_site_type_symbol
_atom_site_fract_x
_atom_site_fract_y
_atom_site_fract_z
Pa1 Pa 0.000 0.000 0.000
Ta1 Ta 0.141 0.141 0.564
Ta2 Ta 0.859 0.859 0.436
S1 S 0.055 0.055 0.745
S2 S 0.282 0.282 0.419
S3 S 0.356 0.356 0.883
S4 S 0.644 0.644 0.117
S5 S 0.718 0.718 0.581
S6 S 0.945 0.945 0.255
```

Computed properties:
The calculation puts the total energy at -67.2 eV/cell. As for the space group: C2/m (12).

=====

[6]
Compound: PaTa2S5
Source: Alexandria
Functional: PBE
Structure: relaxed

Cell and atoms, written as CIF:
```
data_PaTa2S5
_chemical_formula_sum 'Pa1 Ta2 S5'
_symmetry_space_group_name_H-M 'P 1'
_symmetry_Int_Tables_number 1
_symmetry_space_group_name_Hall 'P 1'
_cell_length_a 9.310
_cell_length_b 7.287
_cell_length_c 6.830
_cell_angle_alpha 82.45
_cell_angle_beta 50.89
_cell_angle_gamma 46.66
loop_
_atom_site_label
_atom_site_type_symbol
_atom_site_fract_x
_atom_site_fract_y
_atom_site_fract_z
Pa1 Pa 0.000 0.000 0.000
Ta1 Ta 0.303 0.697 0.303
Ta2 Ta 0.697 0.303 0.697
S1 S 0.045 0.712 0.288
S2 S 0.288 0.955 0.045
S3 S 0.500 0.500 0.500
S4 S 0.712 0.045 0.955
S5 S 0.955 0.288 0.712
```

Computed properties:
The calculation puts the total energy at -60.0 eV/cell. As for the space group: Fmmm (69).

=====

[7]
Compound: Pa2TaS6
Source: Alexandria
Functional: PBE
Structure: relaxed

Cell and atoms, written as CIF:
```
data_Pa2TaS6
_chemical_formula_sum 'Pa2 Ta1 S6'
_symmetry_space_group_name_H-M 'P 1'
_symmetry_Int_Tables_number 1
_symmetry_space_group_name_Hall 'P 1'
_cell_length_a 3.639
_cell_length_b 3.639
_cell_length_c 20.992
_cell_angle_alpha 90.00
_cell_angle_beta 90.00
_cell_angle_gamma 120.00
loop_
_atom_site_label
_atom_site_type_symbol
_atom_site_fract_x
_atom_site_fract_y
_atom_site_fract_z
Pa1 Pa 0.000 0.000 0.177
Pa2 Pa 0.000 0.000 0.823
Ta1 Ta 0.667 0.333 0.500
S1 S 0.000 0.000 0.429
S2 S 0.000 0.000 0.571
S3 S 0.667 0.333 0.097
S4 S 0.667 0.333 0.257
S5 S 0.667 0.333 0.743
S6 S 0.667 0.333 0.903
```

Computed properties:
The calculation puts the total energy at -66.4 eV/cell. As for the space group: P-6m2 (187).

=====

[8]
Compound: PaTaS3
Source: Alexandria
Functional: PBE
Structure: relaxed

Cell and atoms, written as CIF:
```
data_PaTaS3
_chemical_formula_sum 'Pa4 Ta4 S12'
_symmetry_space_group_name_H-M 'P 1'
_symmetry_Int_Tables_number 1
_symmetry_space_group_name_Hall 'P 1'
_cell_length_a 8.329
_cell_length_b 8.329
_cell_length_c 7.635
_cell_angle_alpha 90.00
_cell_angle_beta 90.00
_cell_angle_gamma 123.97
loop_
_atom_site_label
_atom_site_type_symbol
_atom_site_fract_x
_atom_site_fract_y
_atom_site_fract_z
Pa1 Pa 0.036 0.464 0.250
Pa2 Pa 0.464 0.036 0.750
Pa3 Pa 0.536 0.964 0.250
Pa4 Pa 0.964 0.536 0.750
Ta1 Ta 0.088 0.912 0.411
Ta2 Ta 0.412 0.588 0.911
Ta3 Ta 0.588 0.412 0.089
Ta4 Ta 0.912 0.088 0.589
S1 S 0.070 0.930 0.727
S2 S 0.147 0.353 0.750
S3 S 0.244 0.756 0.000
S4 S 0.256 0.744 0.500
S5 S 0.353 0.147 0.250
S6 S 0.430 0.570 0.227
S7 S 0.570 0.430 0.773
S8 S 0.647 0.853 0.750
S9 S 0.744 0.256 0.500
S10 S 0.756 0.244 0.000
S11 S 0.853 0.647 0.250
S12 S 0.930 0.070 0.273
```

Computed properties:
The calculation puts the total energy at -158.2 eV/cell. As for the space group: Cmce (64).

=====

[9]
Compound: Tb2PaS4
Source: Alexandria
Functional: PBE
Structure: relaxed

Cell and atoms, written as CIF:
```
data_Tb2PaS4
_chemical_formula_sum 'Tb4 Pa2 S8'
_symmetry_space_group_name_H-M 'P 1'
_symmetry_Int_Tables_number 1
_symmetry_space_group_name_Hall 'P 1'
_cell_length_a 6.804
_cell_length_b 6.804
_cell_length_c 12.899
_cell_angle_alpha 90.00
_cell_angle_beta 90.00
_cell_angle_gamma 147.34
loop_
_atom_site_label
_atom_site_type_symbol
_atom_site_fract_x
_atom_site_fract_y
_atom_site_fract_z
Tb1 Tb 0.135 0.865 0.567
Tb2 Tb 0.135 0.865 0.933
Tb3 Tb 0.865 0.135 0.067
Tb4 Tb 0.865 0.135 0.433
Pa1 Pa 0.377 0.623 0.750
Pa2 Pa 0.623 0.377 0.250
S1 S 0.029 0.971 0.750
S2 S 0.226 0.774 0.127
S3 S 0.226 0.774 0.373
S4 S 0.500 0.500 0.000
S5 S 0.500 0.500 0.500
S6 S 0.774 0.226 0.627
S7 S 0.774 0.226 0.873
S8 S 0.971 0.029 0.250
```

Computed properties:
The calculation puts the total energy at -96.3 eV/cell. As for the space group: Cmcm (63).

=====

[10]
Compound: TbPa2S5
Source: Alexandria
Functional: PBE
Structure: relaxed

Cell and atoms, written as CIF:
```
data_TbPa2S5
_chemical_formula_sum 'Tb4 Pa8 S20'
_symmetry_space_group_name_H-M 'P 1'
_symmetry_Int_Tables_number 1
_symmetry_space_group_name_Hall 'P 1'
_cell_length_a 11.929
_cell_length_b 7.804
_cell_length_c 7.351
_cell_angle_alpha 90.00
_cell_angle_beta 90.00
_cell_angle_gamma 90.00
loop_
_atom_site_label
_atom_site_type_symbol
_atom_site_fract_x
_atom_site_fract_y
_atom_site_fract_z
Tb1 Tb 0.004 0.250 0.079
Tb2 Tb 0.496 0.750 0.579
Tb3 Tb 0.504 0.250 0.421
Tb4 Tb 0.996 0.750 0.921
Pa1 Pa 0.180 0.000 0.514
Pa2 Pa 0.180 0.500 0.514
Pa3 Pa 0.320 0.000 0.014
Pa4 Pa 0.320 0.500 0.014
Pa5 Pa 0.680 0.000 0.986
Pa6 Pa 0.680 0.500 0.986
Pa7 Pa 0.820 0.000 0.486
Pa8 Pa 0.820 0.500 0.486
S1 S 0.001 0.250 0.468
S2 S 0.106 0.541 0.162
S3 S 0.106 0.959 0.162
S4 S 0.185 0.250 0.822
S5 S 0.214 0.750 0.795
S6 S 0.286 0.250 0.295
S7 S 0.315 0.750 0.322
S8 S 0.394 0.041 0.662
S9 S 0.394 0.459 0.662
S10 S 0.499 0.750 0.968
S11 S 0.501 0.250 0.032
S12 S 0.606 0.541 0.338
S13 S 0.606 0.959 0.338
S14 S 0.685 0.250 0.678
S15 S 0.714 0.750 0.705
S16 S 0.786 0.250 0.205
S17 S 0.815 0.750 0.178
S18 S 0.894 0.041 0.838
S19 S 0.894 0.459 0.838
S20 S 0.999 0.750 0.532
```

Computed properties:
The calculation puts the total energy at -233.2 eV/cell. As for the space group: Pnma (62).

=====

[11]
Compound: Tb2PaS5
Source: Alexandria
Functional: PBE
Structure: relaxed

Cell and atoms, written as CIF:
```
data_Tb2PaS5
_chemical_formula_sum 'Tb8 Pa4 S20'
_symmetry_space_group_name_H-M 'P 1'
_symmetry_Int_Tables_number 1
_symmetry_space_group_name_Hall 'P 1'
_cell_length_a 11.852
_cell_length_b 7.917
_cell_length_c 7.390
_cell_angle_alpha 90.00
_cell_angle_beta 90.00
_cell_angle_gamma 90.00
loop_
_atom_site_label
_atom_site_type_symbol
_atom_site_fract_x
_atom_site_fract_y
_atom_site_fract_z
Tb1 Tb 0.179 0.001 0.018
Tb2 Tb 0.179 0.499 0.018
Tb3 Tb 0.321 0.501 0.518
Tb4 Tb 0.321 0.999 0.518
Tb5 Tb 0.679 0.001 0.482
Tb6 Tb 0.679 0.499 0.482
Tb7 Tb 0.821 0.501 0.982
Tb8 Tb 0.821 0.999 0.982
Pa1 Pa 0.007 0.750 0.575
Pa2 Pa 0.493 0.250 0.075
Pa3 Pa 0.507 0.750 0.925
Pa4 Pa 0.993 0.250 0.425
S1 S 0.000 0.250 0.042
S2 S 0.000 0.750 0.958
S3 S 0.101 0.043 0.662
S4 S 0.101 0.457 0.662
S5 S 0.184 0.750 0.325
S6 S 0.216 0.250 0.299
S7 S 0.284 0.750 0.799
S8 S 0.316 0.250 0.825
S9 S 0.399 0.543 0.162
S10 S 0.399 0.957 0.162
S11 S 0.500 0.250 0.458
S12 S 0.500 0.750 0.542
S13 S 0.601 0.043 0.838
S14 S 0.601 0.457 0.838
S15 S 0.684 0.750 0.175
S16 S 0.716 0.250 0.201
S17 S 0.784 0.750 0.701
S18 S 0.816 0.250 0.675
S19 S 0.899 0.543 0.338
S20 S 0.899 0.957 0.338
```

Computed properties:
The calculation puts the total energy at -218.2 eV/cell. As for the space group: Pnma (62).

=====

[12]
Compound: Tb2PaS6
Source: Alexandria
Functional: PBE
Structure: relaxed

Cell and atoms, written as CIF:
```
data_Tb2PaS6
_chemical_formula_sum 'Tb4 Pa2 S12'
_symmetry_space_group_name_H-M 'P 1'
_symmetry_Int_Tables_number 1
_symmetry_space_group_name_Hall 'P 1'
_cell_length_a 6.371
_cell_length_b 6.371
_cell_length_c 12.259
_cell_angle_alpha 90.00
_cell_angle_beta 90.00
_cell_angle_gamma 90.00
loop_
_atom_site_label
_atom_site_type_symbol
_atom_site_fract_x
_atom_site_fract_y
_atom_site_fract_z
Tb1 Tb 0.000 0.000 0.167
Tb2 Tb 0.000 0.000 0.833
Tb3 Tb 0.500 0.500 0.333
Tb4 Tb 0.500 0.500 0.667
Pa1 Pa 0.000 0.000 0.500
Pa2 Pa 0.500 0.500 0.000
S1 S 0.194 0.194 0.339
S2 S 0.194 0.194 0.661
S3 S 0.205 0.205 0.000
S4 S 0.295 0.705 0.500
S5 S 0.306 0.694 0.161
S6 S 0.306 0.694 0.839
S7 S 0.694 0.306 0.161
S8 S 0.694 0.306 0.839
S9 S 0.705 0.295 0.500
S10 S 0.795 0.795 0.000
S11 S 0.806 0.806 0.339
S12 S 0.806 0.806 0.661
```

Computed properties:
The calculation puts the total energy at -115.8 eV/cell. As for the space group: P4_2/mnm (136).